Entry from Alexandria: a geometry-optimized Si3BI structure (PBE). Values from VASP.

```
&SYSTEM
  ibrav = 0, nat = 5, ntyp = 3
/
ATOMIC_SPECIES
I 126.90 I.upf
Si 28.09 Si.upf
B 10.81 B.upf
CELL_PARAMETERS angstrom
-4.061 0.075 1.713
1.681 -0.687 4.016
0.336 4.353 0.604
ATOMIC_POSITIONS crystal
I 0.500 0.500 0.500
Si 0.500 0.000 0.000
Si 0.000 0.500 0.000
Si 0.000 0.000 0.500
B 0.000 0.000 0.000
```

Calculated values
space group: Pm-3m, No. 221
ΔE_f (raw): 972 meV per atom

Entry from Alexandria: a geometry-optimized EuDy2Pa structure (PBE). Values from VASP.

```
&SYSTEM
  ibrav = 0, nat = 4, ntyp = 3
/
ATOMIC_SPECIES
Dy 162.50 Dy.upf
Eu 151.96 Eu.upf
Pa 231.04 Pa.upf
CELL_PARAMETERS angstrom
3.442 0.000 0.000
1.721 2.981 0.000
1.721 0.994 12.205
ATOMIC_POSITIONS crystal
Dy 0.907 0.907 0.280
Dy 0.093 0.093 0.720
Eu 0.000 0.000 0.000
Pa 0.500 0.500 0.500
```

Calculated values
space group: R-3m, No. 166

Entry from Alexandria: a geometry-optimized RbHg2Sb2 structure (PBE). Values from VASP.

```
&SYSTEM
  ibrav = 0, nat = 5, ntyp = 3
/
ATOMIC_SPECIES
Rb 85.47 Rb.upf
Hg 200.59 Hg.upf
Sb 121.76 Sb.upf
CELL_PARAMETERS angstrom
-4.652 0.340 2.959
2.950 -0.235 4.664
-0.443 5.499 3.828
ATOMIC_POSITIONS crystal
Rb 0.000 0.000 0.000
Hg 0.250 0.750 0.500
Hg 0.750 0.250 0.500
Sb 0.368 0.368 0.265
Sb 0.632 0.632 0.735
```

Calculated values
space group: I4/mmm, No. 139
ΔE_f (raw): -179 meV per atom

Entry from Alexandria: a geometry-optimized Dy3Tm3Tl structure (PBE). Values from VASP.

```
&SYSTEM
  ibrav = 0, nat = 14, ntyp = 3
/
ATOMIC_SPECIES
Tm 168.93 Tm.upf
Tl 204.38 Tl.upf
Dy 162.50 Dy.upf
CELL_PARAMETERS angstrom
-0.080 1.598 5.272
-8.155 -4.365 1.199
7.999 -4.555 1.501
ATOMIC_POSITIONS crystal
Tm 0.750 0.482 0.375
Tm 0.750 0.625 0.106
Tm 0.250 0.106 0.481
Tm 0.250 0.518 0.625
Tm 0.250 0.375 0.894
Tm 0.750 0.894 0.519
Tl 0.250 0.667 0.333
Tl 0.750 0.333 0.667
Dy 0.750 0.756 0.821
Dy 0.750 0.179 0.936
Dy 0.250 0.244 0.179
Dy 0.250 0.821 0.064
Dy 0.750 0.065 0.244
Dy 0.250 0.935 0.756
```

Calculated values
space group: P2_1/m, No. 11

Entry from Alexandria: a geometry-optimized Sm2MgGa4Pt3 structure (PBE). Values from VASP.

```
&SYSTEM
  ibrav = 0, nat = 10, ntyp = 4
/
ATOMIC_SPECIES
Pt 195.08 Pt.upf
Ga 69.72 Ga.upf
Mg 24.30 Mg.upf
Sm 150.36 Sm.upf
CELL_PARAMETERS angstrom
-3.633 -1.320 -1.680
-0.153 -3.144 2.803
-5.582 6.489 6.974
ATOMIC_POSITIONS crystal
Pt 0.500 0.000 0.869
Pt 0.000 0.500 0.131
Pt 0.000 0.000 0.500
Ga 0.000 0.500 0.355
Ga 0.500 0.000 0.645
Ga 0.000 0.000 0.000
Ga 0.500 0.500 0.000
Mg 0.500 0.500 0.500
Sm 0.500 0.000 0.236
Sm 0.000 0.500 0.764
```

Calculated values
space group: P-4m2, No. 115

Entry from Alexandria: a geometry-optimized Tl5PbAu4 structure (PBE). Values from VASP.

```
&SYSTEM
  ibrav = 0, nat = 10, ntyp = 3
/
ATOMIC_SPECIES
Tl 204.38 Tl.upf
Au 196.97 Au.upf
Pb 207.20 Pb.upf
CELL_PARAMETERS angstrom
-3.688 0.398 1.829
-3.381 2.104 -7.277
1.456 -9.256 0.274
ATOMIC_POSITIONS crystal
Tl 0.183 0.340 0.367
Tl 0.842 0.199 0.683
Tl 0.158 0.801 0.317
Tl 0.817 0.660 0.633
Tl 0.500 0.500 0.000
Au 0.671 0.070 0.343
Au 0.329 0.930 0.657
Au 0.986 0.736 0.972
Au 0.014 0.264 0.028
Pb 0.500 0.000 0.000
```

Calculated values
space group: C2/m, No. 12

no.,calculated total energy (eV/cell)
1,-19.637
2,-28.138
3,-10.711
4,-59.917
5,-49.955
6,-28.725